[1]
# Sm3InHg2

A geometry-optimized Sm3InHg2 structure (PBE-GGA, Alexandria via LeMat-Bulk).

Results
**E**: -3.391 eV/atom
**Energy of formation**: -0.4741 eV/atom
**DOS at the Fermi energy**: 1.273 states/eV/atom
**Space group**: No. 123

Cell: 3.7780 3.7780 11.6242 Å, 90.00 90.00 90.00°
Last column: nearest neighbours and their distance in Å.
Sites, in units of the cell vectors:
Sm 0.0000 0.0000 0.0000  8 Hg 3.28
Sm 0.0000 0.0000 0.3283  4 Hg 3.28, 4 In 3.33
Sm 0.0000 0.0000 0.6717  4 Hg 3.28, 4 In 3.33
In 0.5000 0.5000 0.5000  8 Sm 3.33
Hg 0.5000 0.5000 0.1642  8 Sm 3.28
Hg 0.5000 0.5000 0.8358  8 Sm 3.28


[2]
# TmScGaPb

A geometry-optimized TmScGaPb structure (PBE-GGA, Alexandria via LeMat-Bulk).

Results
**E**: -4.745 eV/atom
**Energy of formation**: -0.3608 eV/atom
**DOS at the Fermi energy**: 0.911 states/eV/atom
**Space group**: No. 216

Cell: 5.1129 5.1129 5.1129 Å, 60.00 60.00 60.00°
Last column: nearest neighbours and their distance in Å.
Sites, in units of the cell vectors:
Tm 0.0000 0.0000 0.0000  4 Ga 3.13, 4 Pb 3.13
Sc 0.5000 0.5000 0.5000  4 Pb 3.13, 4 Ga 3.13
Ga 0.2500 0.2500 0.2500  4 Sc 3.13, 4 Tm 3.13
Pb 0.7500 0.7500 0.7500  4 Sc 3.13, 4 Tm 3.13


[3]
# V4FeGe4

A geometry-optimized V4FeGe4 structure (PBE-GGA, Alexandria via LeMat-Bulk).

Results
**E**: -7.152 eV/atom
**Energy of formation**: -0.1072 eV/atom
**DOS at the Fermi energy**: 0.758 states/eV/atom
**Space group**: No. 139

Cell: 6.1750 6.1750 6.1750 Å, 95.39 95.39 144.32°
Last column: nearest neighbours and their distance in Å.
Sites, in units of the cell vectors:
V 0.1681 0.1681 0.3361  6 Ge 2.56-2.78, 4 V 2.70-2.79, 2 Fe 2.74
V 0.1681 0.8319 0.0000  6 Ge 2.56-2.78, 4 V 2.70-2.79, 2 Fe 2.74
V 0.8319 0.1681 0.0000  6 Ge 2.56-2.78, 4 V 2.70-2.79, 2 Fe 2.74
V 0.8319 0.8319 0.6639  6 Ge 2.56-2.78, 4 V 2.70-2.79, 2 Fe 2.74
Fe 0.5000 0.5000 0.0000  4 Ge 2.41
Ge 0.2105 0.5000 0.7105  1 Fe 2.41, 4 V 2.56
Ge 0.5000 0.2105 0.7105  1 Fe 2.41, 4 V 2.56
Ge 0.5000 0.7895 0.2895  1 Fe 2.41, 4 V 2.56
Ge 0.7895 0.5000 0.2895  1 Fe 2.41, 4 V 2.56


[4]
# LaBe2GaAu

A geometry-optimized LaBe2GaAu structure (PBE-GGA, Alexandria via LeMat-Bulk).

Results
**E**: -3.429 eV/atom
**Energy of formation**: 0.3079 eV/atom
**Distance to the lowest polymorph of the same formula**: 91 meV/atom
**DOS at the Fermi energy**: 0.586 states/eV/atom
**Space group**: No. 123

Cell: 4.4489 4.4489 6.2944 Å, 90.00 90.00 90.00°
Last column: nearest neighbours and their distance in Å.
Sites, in units of the cell vectors:
La 0.0000 0.0000 0.0000  4 Au 3.15, 2 Ga 3.15
Be 0.0000 0.5000 0.5000  2 Ga 2.22
Be 0.5000 0.0000 0.5000  2 Ga 2.22
Ga 0.0000 0.0000 0.5000  4 Be 2.22
Au 0.5000 0.5000 0.0000  4 La 3.15